(1)
VASP calculation (PBE) on an optimized crystal structure of TmAl2B6.

Properties
The total energy is -6.00 eV per atom. For the density of states at the Fermi level, the calculation gives 1.52 states/eV/f.u. Its volume is 86.93 Å³ per cell. Its formation enthalpy at 0 K is -0.2200 eV/atom. The value obtained for the size of the total moment is 0.00 μB per formula unit.

abc: 5.3553 5.3553 3.4999
angles: 90.00 90.00 120.00
Space group P6/mmm (No. 191)
Symmetry-distinct sites (fractional):
Tm1 0.0000 0.0000 0.0000 [1 per cell]
Al1 0.3333 0.6667 0.0000 [2 per cell]
B1 0.0000 0.3383 0.5000 [6 per cell]

(2)
VASP calculation (PBE) on an optimized crystal structure of Fe2HgPt.

Properties
The total energy is -5.36 eV per atom. For the density of states at the Fermi level, the calculation gives 3.13 states/eV/f.u. Its volume is 273.94 Å³ per cell. Its formation enthalpy at 0 K is 0.4567 eV/atom. The value obtained for the size of the total moment is 6.29 μB per formula unit.

abc: 7.1657 7.1657 5.3350
angles: 90.00 90.00 90.00
Space group I-42d (No. 122)
Symmetry-distinct sites (fractional):
Fe1 0.2229 0.2500 0.1250 [8 per cell]
Hg1 0.0000 0.0000 0.5000 [4 per cell]
Pt1 0.0000 0.0000 0.0000 [4 per cell]

(3)
VASP calculation (PBE) on an optimized crystal structure of Ac2SO4F2.

Properties
The total energy is -6.52 eV per atom. The calculation puts the formation energy (no corrections) at -22.75 eV per formula unit. For the density of states at the Fermi level, the calculation gives 0.87 states/eV/f.u. Its volume is 319.54 Å³ per cell. The value obtained for the size of the total moment is 2.00 μB per formula unit.

abc: 6.9290 5.8258 7.9209
angles: 90.00 92.04 90.00
Space group C2/m (No. 12)
Symmetry-distinct sites (fractional):
Ac1 0.1365 0.0000 0.2635 [4 per cell]
S1 0.0000 0.5000 0.0000 [2 per cell]
O1 0.0814 0.2897 0.8617 [8 per cell]
F1 0.1927 0.0000 0.5708 [4 per cell]

(4)
VASP calculation (PBE) on an optimized crystal structure of Th3Ga2Au6.

Properties
The total energy is -4.79 eV per atom. For the density of states at the Fermi level, the calculation gives 6.98 states/eV/f.u. Its volume is 514.26 Å³ per cell. Its formation enthalpy at 0 K is -0.4318 eV/atom. The value obtained for the size of the total moment is 0.00 μB per formula unit.

abc: 4.1451 4.1451 29.9309
angles: 90.00 90.00 90.00
Space group I4/mmm (No. 139)
Symmetry-distinct sites (fractional):
Th1 0.0000 0.0000 0.0000 [2 per cell]
Th2 0.0000 0.0000 0.1748 [4 per cell]
Ga1 0.0000 0.0000 0.3678 [4 per cell]
Au1 0.0000 0.0000 0.2763 [4 per cell]
Au2 0.0000 0.5000 0.0767 [8 per cell]

(5)
VASP calculation (PBE) on an optimized crystal structure of NaBiSbPb2.

Properties
The total energy is -3.38 eV per atom. The calculation puts the formation energy (no corrections) at -0.18 eV per formula unit. For the density of states at the Fermi level, the calculation gives 2.72 states/eV/f.u. Its volume is 742.71 Å³ per cell. The value obtained for the size of the total moment is 0.00 μB per formula unit.

abc: 7.3594 14.1664 7.1239
angles: 90.00 90.00 90.00
Space group Cmcm (No. 63)
Symmetry-distinct sites (fractional):
Na1 0.0000 0.2435 0.2500 [4 per cell]
Bi1 0.0000 0.3458 0.7500 [4 per cell]
Sb1 0.0000 0.1240 0.7500 [4 per cell]
Pb1 0.2382 0.5000 0.0000 [8 per cell]

(6)
VASP calculation (PBE) on an optimized crystal structure of Li2SbP2.

Properties
The total energy is -3.97 eV per atom. As for the polymorph energy (0 for the lowest one): 58 meV/atom. The calculation puts the formation energy (no corrections) at -1.09 eV per formula unit. For the density of states at the Fermi level, the calculation gives 1.75 states/eV/f.u. Its volume is 172.55 Å³ per cell. The value obtained for the size of the total moment is 0.00 μB per formula unit.

abc: 7.6215 7.6215 2.9705
angles: 90.00 90.00 90.00
Space group P4/mbm (No. 127)
Symmetry-distinct sites (fractional):
Li1 0.1198 0.3802 0.0000 [4 per cell]
Sb1 0.0000 0.0000 0.5000 [2 per cell]
P1 0.1772 0.6772 0.5000 [4 per cell]

(7)
VASP calculation (PBE) on an optimized crystal structure of Sr2Li3Ca2.

Properties
The total energy is -1.77 eV per atom. For the density of states at the Fermi level, the calculation gives 7.10 states/eV/f.u. Its volume is 1046.35 Å³ per cell. Its formation enthalpy at 0 K is 0.1044 eV/atom. The value obtained for the size of the total moment is 0.00 μB per formula unit.

abc: 10.1522 10.1522 10.1522
angles: 90.00 90.00 90.00
Space group I2_13 (No. 199)
Symmetry-distinct sites (fractional):
Sr1 0.0725 0.0725 0.0725 [8 per cell]
Li1 0.0000 0.2500 0.4085 [12 per cell]
Ca1 0.1907 0.3093 0.6907 [8 per cell]

(8)
VASP calculation (PBE) on an optimized crystal structure of VSi2Se.

Properties
The total energy is -5.27 eV per atom. The calculation puts the formation energy (no corrections) at 2.35 eV per formula unit. For the density of states at the Fermi level, the calculation gives 3.78 states/eV/f.u. Its volume is 362.25 Å³ per cell. The value obtained for the size of the total moment is 2.27 μB per formula unit.

abc: 5.9754 5.9754 10.1454
angles: 90.00 90.00 90.00
Space group I-42d (No. 122)
Symmetry-distinct sites (fractional):
V1 0.0000 0.0000 0.0000 [4 per cell]
Si1 0.2467 0.2500 0.1250 [8 per cell]
Se1 0.0000 0.0000 0.5000 [4 per cell]

(9)
VASP calculation (PBE) on an optimized crystal structure of LiMnSb3.

Properties
The total energy is -4.38 eV per atom. As for the polymorph energy (0 for the lowest one): 0 meV/atom. The calculation puts the formation energy (no corrections) at 1.54 eV per formula unit. For the density of states at the Fermi level, the calculation gives 11.18 states/eV/f.u. Its volume is 126.66 Å³ per cell. The value obtained for the size of the total moment is 0.00 μB per formula unit.

abc: 5.0221 5.0221 5.0221
angles: 90.00 90.00 90.00
Space group Pm-3m (No. 221)
Symmetry-distinct sites (fractional):
Li1 0.0000 0.0000 0.0000 [1 per cell]
Mn1 0.5000 0.5000 0.5000 [1 per cell]
Sb1 0.0000 0.5000 0.5000 [3 per cell]

(10)
VASP calculation (PBE) on an optimized crystal structure of Sr2Cu3Cl2O4.

Properties
The total energy is -5.08 eV per atom. The calculation puts the formation energy (no corrections) at -16.69 eV per formula unit. For the density of states at the Fermi level, the calculation gives 3.15 states/eV/f.u. Its volume is 393.44 Å³ per cell. The value obtained for the size of the total moment is 0.82 μB per formula unit.

abc: 5.4856 5.4856 13.0747
angles: 90.00 90.00 90.00
Space group I4/mmm (No. 139)
Symmetry-distinct sites (fractional):
Sr1 0.0000 0.0000 0.1380 [4 per cell]
Cu1 0.0000 0.0000 0.5000 [2 per cell]
Cu2 0.0000 0.5000 0.0000 [4 per cell]
Cl1 0.0000 0.5000 0.2500 [4 per cell]
O1 0.2491 0.2491 0.0000 [8 per cell]

(11)
VASP calculation (PBE) on an optimized crystal structure of CaMn2GaAg.

Properties
The total energy is -4.15 eV per atom. For the density of states at the Fermi level, the calculation gives 7.31 states/eV/f.u. Its volume is 204.65 Å³ per cell. Its formation enthalpy at 0 K is 1.0948 eV/atom. The value obtained for the size of the total moment is 9.02 μB per formula unit.

abc: 5.7526 5.7526 6.1843
angles: 90.00 90.00 90.00
Space group P4/mmm (No. 123)
Symmetry-distinct sites (fractional):
Ca1 0.0000 0.0000 0.0000 [1 per cell]
Mn1 0.0000 0.5000 0.5000 [2 per cell]
Ga1 0.5000 0.5000 0.0000 [1 per cell]
Ag1 0.0000 0.0000 0.5000 [1 per cell]

(12)
VASP calculation (PBE) on an optimized crystal structure of Tm2PuSc3Te6.

Properties
The total energy is -6.23 eV per atom. The calculation puts the formation energy (no corrections) at -13.65 eV per formula unit. For the density of states at the Fermi level, the calculation gives 12.48 states/eV/f.u. Its volume is 653.01 Å³ per cell. The value obtained for the size of the total moment is 6.14 μB per formula unit.

abc: 18.5750 4.2331 8.5371
angles: 90.00 103.39 90.00
Space group C2/m (No. 12)
Symmetry-distinct sites (fractional):
Tm1 0.1625 0.0000 0.3289 [4 per cell]
Pu1 0.0000 0.5000 0.0000 [2 per cell]
Sc1 0.0000 0.5000 0.5000 [2 per cell]
Sc2 0.1631 0.0000 0.8375 [4 per cell]
Te1 0.0026 0.0000 0.7380 [4 per cell]
Te2 0.1667 0.5000 0.5901 [4 per cell]
Te3 0.1727 0.5000 0.0817 [4 per cell]

Copy entry 11 word for word.
VASP calculation (PBE) on an optimized crystal structure of CaMn2GaAg.

Properties
The total energy is -4.15 eV per atom. For the density of states at the Fermi level, the calculation gives 7.31 states/eV/f.u. Its volume is 204.65 Å³ per cell. Its formation enthalpy at 0 K is 1.0948 eV/atom. The value obtained for the size of the total moment is 9.02 μB per formula unit.

abc: 5.7526 5.7526 6.1843
angles: 90.00 90.00 90.00
Space group P4/mmm (No. 123)
Symmetry-distinct sites (fractional):
Ca1 0.0000 0.0000 0.0000 [1 per cell]
Mn1 0.0000 0.5000 0.5000 [2 per cell]
Ga1 0.5000 0.5000 0.0000 [1 per cell]
Ag1 0.0000 0.0000 0.5000 [1 per cell]

Look up the size of the total moment of the eighth one. 2.27 μB per formula unit

Among the records above, which one has the lowest density of states at the Fermi level? Ac2SO4F2

What did the sixth record say?
VASP calculation (PBE) on an optimized crystal structure of Li2SbP2.

Properties
The total energy is -3.97 eV per atom. As for the polymorph energy (0 for the lowest one): 58 meV/atom. The calculation puts the formation energy (no corrections) at -1.09 eV per formula unit. For the density of states at the Fermi level, the calculation gives 1.75 states/eV/f.u. Its volume is 172.55 Å³ per cell. The value obtained for the size of the total moment is 0.00 μB per formula unit.

abc: 7.6215 7.6215 2.9705
angles: 90.00 90.00 90.00
Space group P4/mbm (No. 127)
Symmetry-distinct sites (fractional):
Li1 0.1198 0.3802 0.0000 [4 per cell]
Sb1 0.0000 0.0000 0.5000 [2 per cell]
P1 0.1772 0.6772 0.5000 [4 per cell]